[1]
Crystalline CsNa2TlCd at its relaxed geometry, computed with PBE.

Lattice parameters (Å, degrees): 6.888 6.752 6.888 90.00 90.00 90.00
Fractional coordinates of all 5 atoms:
Cs1 0.000 0.000 0.000
Na1 0.000 0.000 0.500
Na2 0.500 0.000 0.000
Tl1 0.500 0.500 0.500
Cd1 0.000 0.500 0.000

Results
Space-group type: P4/mmm, No. 123
Energy of formation from the pure elements in eV per atom: 0.581
Energy above the lowest structure with this stoichiometry in meV per atom: 603

=====

[2]
Crystalline SrNiPbI2 at its relaxed geometry, computed with PBE.

Lattice parameters (Å, degrees): 6.171 6.682 6.171 90.00 90.00 90.00
Fractional coordinates of all 5 atoms:
Pb1 0.000 0.000 0.000
I1 0.000 0.000 0.500
I2 0.500 0.000 0.000
Ni1 0.500 0.500 0.500
Sr1 0.000 0.500 0.000

Results
ΔE_f (raw) in kJ/mol of atoms: 42.4
Space-group type: P4/mmm, No. 123

=====

[3]
Crystalline CaHg2Rh at its relaxed geometry, computed with PBE.

Lattice parameters (Å, degrees): 5.518 5.733 7.060 70.95 79.19 64.38
Fractional coordinates of all 8 atoms:
Ca1 0.642 0.255 0.758
Ca2 0.305 0.817 0.036
Rh1 0.173 0.258 0.639
Rh2 0.623 0.806 0.646
Hg1 0.962 0.457 0.964
Hg2 0.142 0.806 0.578
Hg3 0.498 0.201 0.271
Hg4 0.835 0.599 0.324

Results
Space-group type: P1, No. 1
Energy of formation from the pure elements in eV per atom: -0.280

=====

[4]
Crystalline LuMgBi2 at its relaxed geometry, computed with PBE.

Lattice parameters (Å, degrees): 5.398 5.398 5.398 60.00 60.00 60.00
Fractional coordinates of all 4 atoms:
Mg1 0.500 0.500 0.500
Lu1 0.000 0.000 0.000
Bi1 0.250 0.250 0.250
Bi2 0.750 0.750 0.750

Results
Space-group type: Fm-3m, No. 225
Energy of formation from the pure elements in eV per atom: -0.236
Energy above the lowest structure with this stoichiometry in meV per atom: 95

=====

[5]
Crystalline La2TbSmBi4 at its relaxed geometry, computed with PBE.

Lattice parameters (Å, degrees): 4.623 7.985 8.000 70.49 90.00 90.00
Fractional coordinates of all 8 atoms:
La1 0.000 0.000 0.000
La2 0.500 0.000 0.500
Tb1 0.000 0.500 0.500
Sm1 0.500 0.500 0.000
Bi1 0.000 0.741 0.751
Bi2 0.000 0.259 0.249
Bi3 0.500 0.740 0.255
Bi4 0.500 0.260 0.745

Results
Space-group type: P2/m, No. 10
Energy of formation from the pure elements in eV per atom: -0.978

=====

[6]
Crystalline LiTbSi2O6 at its relaxed geometry, computed with PBE.

Lattice parameters (Å, degrees): 5.532 6.996 6.996 86.67 74.69 74.69
Fractional coordinates of all 20 atoms:
Li1 0.250 0.239 0.761
Li2 0.750 0.761 0.239
Tb1 0.250 0.882 0.118
Tb2 0.750 0.118 0.882
Si1 0.300 0.781 0.619
Si2 0.200 0.381 0.219
Si3 0.700 0.219 0.381
Si4 0.800 0.619 0.781
O1 0.178 0.958 0.791
O2 0.322 0.209 0.042
O3 0.822 0.042 0.209
O4 0.678 0.791 0.958
O5 0.377 0.854 0.392
O6 0.123 0.608 0.146
O7 0.623 0.146 0.608
O8 0.877 0.392 0.854
O9 0.067 0.666 0.638
O10 0.433 0.362 0.334
O11 0.933 0.334 0.362
O12 0.567 0.638 0.666

Results
ΔE_f (raw) in kJ/mol of atoms: -281.7
Space-group type: C2/c, No. 15

=====

| no. | raw total energy (eV per atom) |
| --- | --- |
| 1 | -0.7731 |
| 2 | -2.4145 |
| 3 | -2.7695 |
| 4 | -3.7053 |
| 5 | -5.3188 |
| 6 | -7.6340 |